Record 1
The following is a DFT calculation (PBE) of an optimized crystal structure of YTeAs2.

extended XYZ file:
```
16
Lattice="5.950 0.000 0.000 0.000 5.950 0.000 0.000 0.000 15.207" Properties=species:S:1:pos:R:3 pbc="T T T"
Y 0.000 0.000 0.000
Y 0.000 2.975 3.802
Y 2.975 0.000 11.405
Y 2.975 2.975 7.604
Te 0.000 0.000 7.604
Te 0.000 2.975 11.405
Te 2.975 0.000 3.802
Te 2.975 2.975 0.000
As 1.459 1.488 9.504
As 1.488 4.434 13.306
As 1.488 4.491 5.703
As 1.516 1.488 1.901
As 4.434 4.463 1.901
As 4.463 1.459 5.703
As 4.463 1.516 13.306
As 4.491 4.463 9.504
```

Computed properties:
Uncorrected formation energy = -164 meV/atom
V = 33.65 Å³ per atom
Theoretical density = 4.52 Mg/m³
N(E_F) = 11.35 states/eV/cell
Space group = No. 122
Final energy = -19.6 eV per formula unit


Record 2
The following is a DFT calculation (PBE) of an optimized crystal structure of YPu2Ge2Au2.

extended XYZ file:
```
7
Lattice="2.271 1.311 8.574 -2.271 1.311 8.574 0.000 -2.623 8.574" Properties=species:S:1:pos:R:3 pbc="T T T"
Y 0.000 0.000 0.000
Pu 0.000 0.000 3.619
Pu 0.000 0.000 22.104
Ge 0.000 0.000 6.789
Ge 0.000 0.000 18.934
Au 0.000 0.000 10.647
Au 0.000 0.000 15.076
```

Computed properties:
V = 21.89 Å³ per atom
Theoretical density = 12.10 Mg/m³
N(E_F) = 13.63 states/eV/cell
Formation energy from the elements = -464 meV/atom
Space group = No. 166
Final energy = -54.2 eV per formula unit